# 1
DFT (GGA-PBE) results for an optimized crystal structure of Li3Ge2Ru2.

Structure (POSCAR):
```
Li3Ge2Ru2
1.0
2.0819 1.2020 6.6071
-2.0819 1.2020 6.6071
0.0000 -2.4039 6.6071
Li Ge Ru
3 2 2
Direct
0.0000 0.0000 0.0000 Li
0.1391 0.1391 0.1391 Li
0.8609 0.8609 0.8609 Li
0.4127 0.4127 0.4127 Ge
0.5873 0.5873 0.5873 Ge
0.2846 0.2846 0.2846 Ru
0.7154 0.7154 0.7154 Ru
```

Summary:
**SG**: R-3m
**Calculated formation energy**: -0.332 eV/atom
**Electronic total energy**: -35.850 eV/f.u.


# 2
DFT (GGA-PBE) results for an optimized crystal structure of Li2Cd2Pd15.

Structure (POSCAR):
```
Li2Cd2Pd15
1.0
4.5081 2.6028 4.5797
-4.5081 2.6028 4.5797
0.0000 -5.2055 4.5797
Li Cd Pd
2 2 15
Direct
0.1023 0.1023 0.1023 Li
0.8977 0.8977 0.8977 Li
0.3586 0.3586 0.3586 Cd
0.6414 0.6414 0.6414 Cd
0.0000 0.0000 0.5000 Pd
0.0000 0.3275 0.6725 Pd
0.0000 0.5000 0.0000 Pd
0.0000 0.6725 0.3275 Pd
0.1662 0.6626 0.6626 Pd
0.3275 0.0000 0.6725 Pd
0.3275 0.6725 0.0000 Pd
0.3374 0.3374 0.8338 Pd
0.3374 0.8338 0.3374 Pd
0.5000 0.0000 0.0000 Pd
0.6626 0.1662 0.6626 Pd
0.6626 0.6626 0.1662 Pd
0.6725 0.0000 0.3275 Pd
0.6725 0.3275 0.0000 Pd
0.8338 0.3374 0.3374 Pd
```

Summary:
**SG**: R-3m
**Calculated formation energy**: -0.078 eV/atom
**Electronic total energy**: -85.031 eV/f.u.


# 3
DFT (GGA-PBE) results for an optimized crystal structure of CdBiH.

Structure (POSCAR):
```
CdBiH
1.0
7.3934 0.0000 0.0000
0.0000 5.1252 0.0000
0.0000 0.0000 7.4437
Cd Bi H
4 4 4
Direct
0.1061 0.2500 0.0116 Cd
0.3939 0.7500 0.5116 Cd
0.6061 0.2500 0.4884 Cd
0.8939 0.7500 0.9884 Cd
0.1722 0.2500 0.5367 Bi
0.3278 0.7500 0.0367 Bi
0.6722 0.2500 0.9633 Bi
0.8278 0.7500 0.4633 Bi
0.1340 0.2500 0.2864 H
0.3660 0.7500 0.7864 H
0.6340 0.2500 0.2136 H
0.8660 0.7500 0.7136 H
```

Summary:
**Relative energy among the computed polymorphs**: 154 meV per atom
**SG**: Pnma
**Electronic total energy**: -7.498 eV/f.u.


# 4
DFT (GGA-PBE) results for an optimized crystal structure of LaNbGe.

Structure (POSCAR):
```
LaNbGe
1.0
4.5490 0.0000 0.0000
-2.2745 3.9395 0.0000
0.0000 0.0000 4.1576
La Nb Ge
1 1 1
Direct
0.0000 0.0000 0.0000 La
0.3333 0.6667 0.5000 Nb
0.6667 0.3333 0.5000 Ge
```

Summary:
**SG**: P-6m2
**Calculated formation energy**: -0.111 eV/atom
**Electronic total energy**: -19.947 eV/f.u.


# 5
DFT (GGA-PBE) results for an optimized crystal structure of Ba2UMnSe5.

Structure (POSCAR):
```
Ba2UMnSe5
1.0
2.1740 -9.3836 0.0000
2.1740 9.3836 0.0000
0.0000 0.0000 13.4112
Ba U Mn Se
4 2 2 10
Direct
0.1140 0.8860 0.5000 Ba
0.1232 0.8768 0.1348 Ba
0.8768 0.1232 0.6348 Ba
0.8860 0.1140 0.0000 Ba
0.2022 0.7978 0.8329 U
0.7978 0.2022 0.3329 U
0.4400 0.5600 0.2461 Mn
0.5600 0.4400 0.7461 Mn
0.0511 0.9489 0.8447 Se
0.2939 0.7061 0.4728 Se
0.3091 0.6909 0.1875 Se
0.3503 0.6497 0.8195 Se
0.4994 0.5006 0.5849 Se
0.5006 0.4994 0.0849 Se
0.6497 0.3503 0.3195 Se
0.6909 0.3091 0.6875 Se
0.7061 0.2939 0.9728 Se
0.9489 0.0511 0.3447 Se
```

Summary:
**SG**: Cmc2_1
**Electronic total energy**: -54.568 eV/f.u.


# 6
DFT (GGA-PBE) results for an optimized crystal structure of TmSi3Rh3.

Structure (POSCAR):
```
TmSi3Rh3
1.0
3.3548 1.9369 6.4453
-3.3548 1.9369 6.4453
0.0000 -3.8738 6.4453
Tm Si Rh
2 6 6
Direct
0.1672 0.1672 0.1672 Tm
0.8328 0.8328 0.8328 Tm
0.1403 0.6975 0.3891 Si
0.3025 0.6109 0.8597 Si
0.3891 0.1403 0.6975 Si
0.6109 0.8597 0.3025 Si
0.6975 0.3891 0.1403 Si
0.8597 0.3025 0.6109 Si
0.0000 0.4085 0.7421 Rh
0.0000 0.5915 0.2579 Rh
0.2579 0.0000 0.5915 Rh
0.4085 0.7421 0.0000 Rh
0.5915 0.2579 0.0000 Rh
0.7421 0.0000 0.4085 Rh
```

Summary:
**Relative energy among the computed polymorphs**: 52 meV per atom
**SG**: R-3
**Electronic total energy**: -47.643 eV/f.u.


# 7
DFT (GGA-PBE) results for an optimized crystal structure of ThPH2Ru.

Structure (POSCAR):
```
ThPH2Ru
1.0
2.0304 -5.1296 0.0000
2.0304 5.1296 0.0000
0.0000 0.0000 5.9869
Th P H Ru
2 2 4 2
Direct
0.2103 0.7897 0.7500 Th
0.7897 0.2103 0.2500 Th
0.0714 0.9286 0.2500 P
0.9286 0.0714 0.7500 P
0.3366 0.6634 0.0700 H
0.3366 0.6634 0.4300 H
0.6634 0.3366 0.5700 H
0.6634 0.3366 0.9300 H
0.5000 0.5000 0.0000 Ru
0.5000 0.5000 0.5000 Ru
```

Summary:
**SG**: Cmcm
**Electronic total energy**: -31.950 eV/f.u.


# 8
DFT (GGA-PBE) results for an optimized crystal structure of Pr5Ho12Mg2.

Structure (POSCAR):
```
Pr5Ho12Mg2
1.0
7.7863 -4.6333 0.0000
7.7863 4.6333 0.0000
-0.2692 0.0000 8.4615
Pr Ho Mg
5 12 2
Direct
0.0000 0.0000 0.0000 Pr
0.2341 0.2341 0.0735 Pr
0.2930 0.2930 0.4813 Pr
0.7070 0.7070 0.5187 Pr
0.7659 0.7659 0.9265 Pr
0.0367 0.6749 0.2610 Ho
0.0753 0.0753 0.3785 Ho
0.1822 0.5640 0.8248 Ho
0.3251 0.9633 0.7390 Ho
0.4360 0.8178 0.1752 Ho
0.4437 0.4437 0.1661 Ho
0.5563 0.5563 0.8339 Ho
0.5640 0.1822 0.8248 Ho
0.6749 0.0367 0.2610 Ho
0.8178 0.4360 0.1752 Ho
0.9247 0.9247 0.6215 Ho
0.9633 0.3251 0.7390 Ho
0.3325 0.6675 0.5000 Mg
0.6675 0.3325 0.5000 Mg
```

Summary:
**SG**: C2/m
**Calculated formation energy**: 0.091 eV/atom
**Electronic total energy**: -80.288 eV/f.u.